a) # LaDyS3 (PBE, relaxed)
# ρ: 5.63 g/cm3
data_LaDyS3
_space_group_name_H-M_alt 'P n m a'
_space_group_IT_number 62
_space_group_name_Hall '-P 2ac 2n'
_cell_length_a 7.469
_cell_length_b 4.060
_cell_length_c 15.462
_cell_angle_alpha 90.00
_cell_angle_beta 90.00
_cell_angle_gamma 90.00
loop_
_atom_site_label
_atom_site_type_symbol
_atom_site_fract_x
_atom_site_fract_y
_atom_site_fract_z
La1 La 0.143 0.250 0.200
Dy1 Dy 0.230 0.750 0.456
S1 S 0.013 0.250 0.396
S2 S 0.127 0.750 0.060
S3 S 0.151 0.250 0.785

=====

b) # LaDyS3 (PBE, relaxed)
# ρ: 5.23 g/cm3
data_LaDyS3
_space_group_name_H-M_alt 'P 1 21/m 1'
_space_group_IT_number 11
_space_group_name_Hall '-P 2yb'
_cell_length_a 7.925
_cell_length_b 4.015
_cell_length_c 7.962
_cell_angle_alpha 90.00
_cell_angle_beta 94.93
_cell_angle_gamma 90.00
loop_
_atom_site_label
_atom_site_type_symbol
_atom_site_fract_x
_atom_site_fract_y
_atom_site_fract_z
La1 La 0.228 0.250 0.376
Dy1 Dy 0.327 0.250 0.852
S1 S 0.026 0.250 0.683
S2 S 0.320 0.750 0.092
S3 S 0.387 0.750 0.628

=====

Most stable pick: a). Distance to second place: 20 meV per atom.